(1)
! Mg2Co2Cl, PBEsol geometry, DFT SCAN; values from VASP
! **DFT total energy**: -10.7010 eV per atom
! **E_form (uncorrected)**: -194 meV/atom
! **SG**: No. 139
&SYSTEM
  ibrav = 0, nat = 5, ntyp = 3
/
ATOMIC_SPECIES
Mg 24.30 Mg.upf
Co 58.93 Co.upf
Cl 35.45 Cl.upf
CELL_PARAMETERS angstrom
-1.632 1.632 7.979
1.632 -1.632 7.979
1.632 1.632 -7.979
ATOMIC_POSITIONS angstrom
Mg 0.000 0.000 1.944
Mg 0.000 0.000 14.013
Co 1.632 0.000 3.989
Co 0.000 1.632 3.989
Cl 0.000 0.000 7.979

=====

(2)
! HfI2F, PBEsol geometry, DFT SCAN; values from VASP
! **DFT total energy**: -35.6796 eV per atom
! **E_form (uncorrected)**: -756 meV/atom
! **SG**: No. 225
&SYSTEM
  ibrav = 0, nat = 4, ntyp = 3
/
ATOMIC_SPECIES
Hf 178.49 Hf.upf
I 126.90 I.upf
F 19.00 F.upf
CELL_PARAMETERS angstrom
0.000 3.488 3.488
3.488 0.000 3.488
3.488 3.488 0.000
ATOMIC_POSITIONS angstrom
Hf 0.000 0.000 0.000
I 1.744 1.744 1.744
I 5.231 5.231 5.231
F 3.488 3.488 3.488

=====

(3)
! K2AgW, PBEsol geometry, DFT SCAN; values from VASP
! **DFT total energy**: -27.9205 eV per atom
! **Energy of formation from the pure elements**: 6.030 eV per formula unit
! **Relative energy among the computed polymorphs**: 384.4 meV per atom
! **SG**: No. 216
&SYSTEM
  ibrav = 0, nat = 4, ntyp = 3
/
ATOMIC_SPECIES
K 39.10 K.upf
Ag 107.87 Ag.upf
W 183.84 W.upf
CELL_PARAMETERS angstrom
0.000 3.808 3.808
3.808 0.000 3.808
3.808 3.808 0.000
ATOMIC_POSITIONS angstrom
K 0.000 0.000 0.000
K 1.904 1.904 1.904
Ag 3.808 3.808 3.808
W 5.711 5.711 5.711

=====

(4)
! KTc2SbSe, PBEsol geometry, DFT SCAN; values from VASP
! **DFT total energy**: -26.1137 eV per atom
! **E_form (uncorrected)**: 1044 meV/atom
! **SG**: No. 123
&SYSTEM
  ibrav = 0, nat = 5, ntyp = 4
/
ATOMIC_SPECIES
K 39.10 K.upf
Tc 98.00 Tc.upf
Sb 121.76 Sb.upf
Se 78.96 Se.upf
CELL_PARAMETERS angstrom
4.647 0.000 0.000
0.000 4.647 0.000
0.000 0.000 5.557
ATOMIC_POSITIONS angstrom
K 0.000 0.000 0.000
Tc 0.000 2.324 2.778
Tc 2.324 0.000 2.778
Sb 2.324 2.324 0.000
Se 2.324 2.324 2.778

=====

(5)
! ZnPb2WO6, PBEsol geometry, DFT SCAN; values from VASP
! **DFT total energy**: -28.9088 eV per atom
! **E_form (uncorrected)**: -1693 meV/atom
! **SG**: No. 225
&SYSTEM
  ibrav = 0, nat = 10, ntyp = 4
/
ATOMIC_SPECIES
Zn 65.41 Zn.upf
Pb 207.20 Pb.upf
W 183.84 W.upf
O 16.00 O.upf
CELL_PARAMETERS angstrom
0.000 3.988 3.988
3.988 0.000 3.988
3.988 3.988 0.000
ATOMIC_POSITIONS angstrom
Zn 0.000 0.000 0.000
Pb 1.994 1.994 1.994
Pb 5.982 5.982 5.982
W 3.988 3.988 3.988
O 3.988 3.988 2.066
O 3.988 2.066 3.988
O 5.910 3.988 3.988
O 2.066 3.988 3.988
O 3.988 5.910 3.988
O 3.988 3.988 5.910

=====

(6)
! LiPd2Pb2, PBEsol geometry, DFT SCAN; values from VASP
! **DFT total energy**: -44.1837 eV per atom
! **Energy of formation from the pure elements**: -1.418 eV per formula unit
! **SG**: No. 127
&SYSTEM
  ibrav = 0, nat = 10, ntyp = 3
/
ATOMIC_SPECIES
Li 6.94 Li.upf
Pd 106.42 Pd.upf
Pb 207.20 Pb.upf
CELL_PARAMETERS angstrom
7.398 0.000 0.000
0.000 7.398 0.000
0.000 0.000 3.652
ATOMIC_POSITIONS angstrom
Li 0.000 0.000 0.000
Li 3.699 3.699 0.000
Pd 1.001 2.698 0.000
Pd 2.698 6.397 0.000
Pd 4.700 1.001 0.000
Pd 6.397 4.700 0.000
Pb 1.222 4.921 1.826
Pb 2.477 1.222 1.826
Pb 4.921 6.176 1.826
Pb 6.176 2.477 1.826

=====

(7)
! EuZrO3, PBEsol geometry, DFT SCAN; values from VASP
! **DFT total energy**: -24.2176 eV per atom
! **E_form (uncorrected)**: -3597 meV/atom
! **SG**: No. 62
&SYSTEM
  ibrav = 0, nat = 20, ntyp = 3
/
ATOMIC_SPECIES
Eu 151.96 Eu.upf
Zr 91.22 Zr.upf
O 16.00 O.upf
CELL_PARAMETERS angstrom
5.825 0.000 0.000
0.000 8.103 0.000
0.000 0.000 5.688
ATOMIC_POSITIONS angstrom
Eu 0.285 2.026 0.075
Eu 2.628 6.077 2.919
Eu 3.197 2.026 2.769
Eu 5.540 6.077 5.613
Zr 0.000 0.000 2.844
Zr 0.000 4.052 2.844
Zr 2.912 0.000 0.000
Zr 2.912 4.052 0.000
O 0.167 6.077 2.307
O 1.211 4.460 4.516
O 1.211 7.695 4.516
O 1.702 0.408 1.672
O 1.702 3.644 1.672
O 2.745 2.026 5.151
O 3.080 6.077 0.537
O 4.123 4.460 4.016
O 4.123 7.695 4.016
O 4.614 0.408 1.172
O 4.614 3.644 1.172
O 5.657 2.026 3.381

=====

(8)
! BaTa2In, PBEsol geometry, DFT SCAN; values from VASP
! **DFT total energy**: -50.5807 eV per atom
! **Energy of formation from the pure elements**: 3.781 eV per formula unit
! **Relative energy among the computed polymorphs**: 457.0 meV per atom
! **SG**: No. 119
&SYSTEM
  ibrav = 0, nat = 4, ntyp = 3
/
ATOMIC_SPECIES
Ba 137.33 Ba.upf
Ta 180.95 Ta.upf
In 114.82 In.upf
CELL_PARAMETERS angstrom
-2.548 2.548 3.515
2.548 -2.548 3.515
2.548 2.548 -3.515
ATOMIC_POSITIONS angstrom
Ba 0.000 0.000 0.000
Ta 0.000 0.000 3.515
Ta 0.000 2.548 1.758
In 2.548 0.000 1.758

=====

(9)
! MnHgBr2, PBEsol geometry, DFT SCAN; values from VASP
! **DFT total energy**: -32.2119 eV per atom
! **E_form (uncorrected)**: -877 meV/atom
! **Relative energy among the computed polymorphs**: 0.0 meV per atom
! **SG**: No. 166
&SYSTEM
  ibrav = 0, nat = 4, ntyp = 3
/
ATOMIC_SPECIES
Mn 54.94 Mn.upf
Hg 200.59 Hg.upf
Br 79.90 Br.upf
CELL_PARAMETERS angstrom
1.866 1.077 9.269
-1.866 1.077 9.269
0.000 -2.155 9.269
ATOMIC_POSITIONS angstrom
Mn 0.000 0.000 0.000
Hg 0.000 0.000 13.903
Br 0.000 0.000 7.738
Br 0.000 0.000 20.069

=====

(10)
! MgZrTl2, PBEsol geometry, DFT SCAN; values from VASP
! **DFT total energy**: -45.2320 eV per atom
! **Energy of formation from the pure elements**: -0.539 eV per formula unit
! **SG**: No. 8
&SYSTEM
  ibrav = 0, nat = 4, ntyp = 3
/
ATOMIC_SPECIES
Mg 24.30 Mg.upf
Zr 91.22 Zr.upf
Tl 204.38 Tl.upf
CELL_PARAMETERS angstrom
5.736 -1.601 0.000
5.736 1.601 0.000
-2.017 0.000 4.971
ATOMIC_POSITIONS angstrom
Mg 0.000 0.000 0.000
Zr 7.701 0.000 2.097
Tl 0.971 0.000 4.547
Tl 4.659 0.000 2.392

=====

(11)
! Sr2CuRh, PBEsol geometry, DFT SCAN; values from VASP
! **DFT total energy**: -23.2031 eV per atom
! **Energy of formation from the pure elements**: 0.709 eV per formula unit
! **SG**: No. 47
&SYSTEM
  ibrav = 0, nat = 4, ntyp = 3
/
ATOMIC_SPECIES
Sr 87.62 Sr.upf
Cu 63.55 Cu.upf
Rh 102.91 Rh.upf
CELL_PARAMETERS angstrom
3.578 0.000 0.000
0.000 4.882 0.000
0.000 0.000 5.907
ATOMIC_POSITIONS angstrom
Sr 0.000 0.000 0.000
Sr 1.789 2.441 2.953
Cu 0.000 0.000 2.953
Rh 1.789 2.441 0.000

=====

(12)
! La2YAg, PBEsol geometry, DFT SCAN; values from VASP
! **DFT total energy**: -36.3311 eV per atom
! **Energy of formation from the pure elements**: 0.096 eV per formula unit
! **Relative energy among the computed polymorphs**: 184.7 meV per atom
! **SG**: No. 119
&SYSTEM
  ibrav = 0, nat = 4, ntyp = 3
/
ATOMIC_SPECIES
La 138.91 La.upf
Y 88.91 Y.upf
Ag 107.87 Ag.upf
CELL_PARAMETERS angstrom
-2.351 2.351 5.071
2.351 -2.351 5.071
2.351 2.351 -5.071
ATOMIC_POSITIONS angstrom
La 0.000 0.000 0.000
La 0.000 2.351 2.536
Y 0.000 0.000 5.071
Ag 2.351 0.000 2.536

=====

(13)
! BeCrRu2, PBEsol geometry, DFT SCAN; values from VASP
! **DFT total energy**: -22.8201 eV per atom
! **Energy of formation from the pure elements**: 1.110 eV per formula unit
! **SG**: No. 35
&SYSTEM
  ibrav = 0, nat = 4, ntyp = 3
/
ATOMIC_SPECIES
Be 9.01 Be.upf
Cr 52.00 Cr.upf
Ru 101.07 Ru.upf
CELL_PARAMETERS angstrom
1.377 -2.141 0.000
1.377 2.141 0.000
0.000 0.000 8.116
ATOMIC_POSITIONS angstrom
Be 0.000 0.000 0.000
Cr 1.377 0.000 6.230
Ru 0.000 0.000 4.189
Ru 1.377 0.000 1.858

=====

no.,volume (Å³/cell)
1,85.0
2,84.8
3,110.4
4,120.0
5,126.8
6,199.9
7,268.5
8,91.3
9,111.8
10,91.3
11,103.2
12,112.2
13,47.9